VASP calculation (PBE) on a relaxed LiAc2ZrO6 crystal.

ΔE_f (raw)   -2.9116 eV/atom

a b c (Å): 5.8500 6.0917 10.0174
angles (deg): 90.00 124.82 90.00
Space group P2_1/c (No. 14)
Inequivalent atoms, fractional coordinates:
Li: 0.0000 0.0000 0.0000 (multiplicity 2)
Ac: 0.2348 0.0578 0.7480 (multiplicity 4)
Zr: 0.5000 0.0000 0.5000 (multiplicity 2)
O: 0.1584 0.1877 0.4534 (multiplicity 4)
O: 0.2585 0.7100 0.4463 (multiplicity 4)
O: 0.3509 0.0388 0.2536 (multiplicity 4)

=====

VASP calculation (PBE) on a relaxed Li2Ac4Os crystal.

Formation energy   152 meV per atom

a b c (Å): 5.8279 5.8279 16.7710
angles (deg): 90.00 90.00 90.00
Space group I4/mmm (No. 139)
Inequivalent atoms, fractional coordinates:
Li: 0.0000 0.0000 0.1227 (multiplicity 4)
Ac: 0.0000 0.0000 0.3262 (multiplicity 4)
Ac: 0.0000 0.5000 0.0000 (multiplicity 4)
Os: 0.0000 0.0000 0.5000 (multiplicity 2)

=====

VASP calculation (PBE) on a relaxed LiAc4Os crystal.

Formation energy   16 meV per atom

a b c (Å): 9.7003 13.9962 6.6651
angles (deg): 90.00 108.61 90.00
Space group C2/c (No. 15)
Inequivalent atoms, fractional coordinates:
Li: 0.0000 0.1219 0.2500 (multiplicity 4)
Ac: 0.1060 0.3314 0.5504 (multiplicity 8)
Ac: 0.2226 0.0791 0.8793 (multiplicity 8)
Os: 0.0000 0.4995 0.7500 (multiplicity 4)

=====

VASP calculation (PBE) on a relaxed LiAcPaOs crystal.

Formation energy   220 meV per atom

a b c (Å): 7.2094 7.2094 7.2094
angles (deg): 90.00 90.00 90.00
Space group F-43m (No. 216)
Inequivalent atoms, fractional coordinates:
Li: 0.0000 0.0000 0.0000 (multiplicity 4)
Ac: 0.2500 0.2500 0.7500 (multiplicity 4)
Pa: 0.2500 0.2500 0.2500 (multiplicity 4)
Os: 0.0000 0.0000 0.5000 (multiplicity 4)

=====

VASP calculation (PBE) on a relaxed LiAcPuOs crystal.

Formation energy   148 meV per atom

a b c (Å): 7.2151 7.2151 7.2151
angles (deg): 90.00 90.00 90.00
Space group F-43m (No. 216)
Inequivalent atoms, fractional coordinates:
Li: 0.0000 0.0000 0.0000 (multiplicity 4)
Ac: 0.2500 0.2500 0.7500 (multiplicity 4)
Pu: 0.2500 0.2500 0.2500 (multiplicity 4)
Os: 0.0000 0.0000 0.5000 (multiplicity 4)

=====

VASP calculation (PBE) on a relaxed LiAcTbOs crystal.

Formation energy   -44 meV per atom

a b c (Å): 7.2410 7.2410 7.2410
angles (deg): 90.00 90.00 90.00
Space group F-43m (No. 216)
Inequivalent atoms, fractional coordinates:
Li: 0.0000 0.0000 0.0000 (multiplicity 4)
Ac: 0.2500 0.2500 0.2500 (multiplicity 4)
Tb: 0.2500 0.2500 0.7500 (multiplicity 4)
Os: 0.0000 0.0000 0.5000 (multiplicity 4)

=====

VASP calculation (PBE) on a relaxed LiAcThOs crystal.

Formation energy   43 meV per atom

a b c (Å): 7.3701 7.3701 7.3701
angles (deg): 90.00 90.00 90.00
Space group F-43m (No. 216)
Inequivalent atoms, fractional coordinates:
Li: 0.0000 0.0000 0.0000 (multiplicity 4)
Ac: 0.2500 0.2500 0.2500 (multiplicity 4)
Th: 0.2500 0.2500 0.7500 (multiplicity 4)
Os: 0.0000 0.0000 0.5000 (multiplicity 4)

=====

VASP calculation (PBE) on a relaxed LiAcTmOs crystal.

Formation energy   -61 meV per atom

a b c (Å): 7.1847 7.1847 7.1847
angles (deg): 90.00 90.00 90.00
Space group F-43m (No. 216)
Inequivalent atoms, fractional coordinates:
Li: 0.0000 0.0000 0.0000 (multiplicity 4)
Ac: 0.2500 0.2500 0.2500 (multiplicity 4)
Tm: 0.2500 0.2500 0.7500 (multiplicity 4)
Os: 0.0000 0.0000 0.5000 (multiplicity 4)

=====

VASP calculation (PBE) on a relaxed LiAcZrOs crystal.

Formation energy   105 meV per atom

a b c (Å): 7.0653 7.0653 7.0653
angles (deg): 90.00 90.00 90.00
Space group F-43m (No. 216)
Inequivalent atoms, fractional coordinates:
Li: 0.0000 0.0000 0.0000 (multiplicity 4)
Ac: 0.2500 0.2500 0.7500 (multiplicity 4)
Zr: 0.2500 0.2500 0.2500 (multiplicity 4)
Os: 0.0000 0.0000 0.5000 (multiplicity 4)

=====

VASP calculation (PBE) on a relaxed LiAcP crystal.

Polymorph energy (0 for the lowest one)   19.5 kJ per mole of atoms
Formation energy   -773 meV per atom

a b c (Å): 6.8986 6.8986 6.8986
angles (deg): 90.00 90.00 90.00
Space group F-43m (No. 216)
Inequivalent atoms, fractional coordinates:
Li: 0.0000 0.0000 0.0000 (multiplicity 4)
Ac: 0.0000 0.0000 0.5000 (multiplicity 4)
P: 0.2500 0.2500 0.7500 (multiplicity 4)

=====

VASP calculation (PBE) on a relaxed LiAcP crystal.

Polymorph energy (0 for the lowest one)   1.6 kJ per mole of atoms
Formation energy   -958 meV per atom

a b c (Å): 4.2744 4.2744 8.6979
angles (deg): 90.00 90.00 120.00
Space group P6_3/mmc (No. 194)
Inequivalent atoms, fractional coordinates:
Li: 0.3333 0.6667 0.2500 (multiplicity 2)
Ac: 0.0000 0.0000 0.0000 (multiplicity 2)
P: 0.3333 0.6667 0.7500 (multiplicity 2)

=====

VASP calculation (PBE) on a relaxed LiAcP crystal.

Polymorph energy (0 for the lowest one)   11.5 kJ per mole of atoms
Formation energy   -856 meV per atom

a b c (Å): 11.3456 4.1888 7.2628
angles (deg): 90.00 124.41 90.00
Space group C2/m (No. 12)
Inequivalent atoms, fractional coordinates:
Li: 0.1932 0.0000 0.0797 (multiplicity 4)
Ac: 0.0487 0.5000 0.3109 (multiplicity 4)
P: 0.1915 0.0000 0.7178 (multiplicity 4)

=====

Q: Number 9 is which compound?
A: LiAcZrOs